The following is a DFT calculation (GGA-PBE) of AcPr3NdEr after structural relaxation.

The calculation puts the formation energy at 106 kJ/mol of formula units. Its volume is 37.04 Å³ per atom. The value obtained for the density is 7.183 g/cm3. The density of states at the Fermi level is 17.1 states/eV/cell. As for the space group: No. 12.

Unit cell a=5.9481 b=10.8902 c=7.1349 alpha=91.49 beta=90.00 gamma=105.85
Element x y z (fractional)
Nd 0.9438 0.8876 0.7170
Nd 0.0562 0.1124 0.2830
Er 0.6423 0.2847 0.4891
Er 0.3577 0.7153 0.5109
Pr 0.4842 0.9685 0.2562
Pr 0.2186 0.4371 0.2771
Pr 0.8396 0.6792 0.2566
Pr 0.1604 0.3208 0.7434
Pr 0.5158 0.0315 0.7438
Pr 0.7814 0.5629 0.7229
Ac 0.3515 0.7030 0.9687
Ac 0.6485 0.2970 0.0313